{
  "formula": "Er3BiPbS",
  "functional": "GGA-PBE",
  "state": "relaxed",
  "e_form_raw_ev_per_atom": -0.87,
  "energy_ev_per_atom": -5.1033,
  "dos_at_fermi_per_ev_cell": 3.23,
  "rho_g_cm3": 8.09,
  "magmom_total_mub_per_cell": 0.0,
  "lattice": [[4.190, 0.000, 0.000], [0.000, 9.027, 1.581], [0.000, -1.892, 9.982]],
  "species": ["Bi", "Bi", "Er", "Er", "Er", "Er", "Er", "Er", "S", "S", "Pb", "Pb"],
  "fractional_positions": [[0.250, 0.614, 0.194], [0.750, 0.386, 0.806], [0.750, 0.862, 0.148], [0.250, 0.622, 0.887], [0.250, 0.138, 0.852], [0.750, 0.140, 0.416], [0.750, 0.378, 0.113], [0.250, 0.860, 0.584], [0.250, 0.146, 0.576], [0.750, 0.854, 0.424], [0.250, 0.130, 0.174], [0.750, 0.870, 0.826]]
}